! GGA-PBE Th2HgOsPb, optimized geometry; values from VASP
! N(E_F) = 7.72 states/eV per cell
! ΔE_f = -251 meV/atom
! V = 275.0 Å³ per cell
&SYSTEM
  ibrav = 0, nat = 10, ntyp = 4
/
ATOMIC_SPECIES
Os 190.23 Os.upf
Hg 200.59 Hg.upf
Pb 207.20 Pb.upf
Th 232.04 Th.upf
CELL_PARAMETERS angstrom
-0.651 3.469 -2.553
-5.394 -4.420 -4.631
-3.639 3.879 6.198
ATOMIC_POSITIONS crystal
Os 0.250 0.880 0.892
Os 0.750 0.120 0.108
Hg 0.250 0.717 0.305
Pb 0.250 0.529 0.660
Pb 0.750 0.471 0.340
Th 0.250 0.264 0.976
Th 0.750 0.887 0.663
Th 0.250 0.113 0.337
Hg 0.750 0.283 0.695
Th 0.750 0.736 0.024


! GGA-PBE KGaI2, optimized geometry; values from VASP
! relative energy among the computed polymorphs = 0.018 eV/atom
! N(E_F) = 0.00 states/eV per cell
! V = 166.3 Å³ per cell
! formation energy without anion corrections = -0.880 eV per atom
&SYSTEM
  ibrav = 0, nat = 4, ntyp = 3
/
ATOMIC_SPECIES
I 126.90 I.upf
Ga 69.72 Ga.upf
K 39.10 K.upf
CELL_PARAMETERS angstrom
4.798 0.000 0.000
2.399 4.155 0.000
2.399 1.385 8.344
ATOMIC_POSITIONS crystal
I 0.257 0.257 0.230
Ga 0.667 0.667 0.998
K 0.499 0.499 0.502
I 0.077 0.077 0.770


! GGA-PBE SrLa3Ru, optimized geometry; values from VASP
! relative energy among the computed polymorphs = 0.702 eV/atom
! N(E_F) = 13.88 states/eV per cell
! ΔE_f = 523 meV/atom
! V = 410.2 Å³ per cell
&SYSTEM
  ibrav = 0, nat = 10, ntyp = 3
/
ATOMIC_SPECIES
La 138.91 La.upf
Ru 101.07 Ru.upf
Sr 87.62 Sr.upf
CELL_PARAMETERS angstrom
-3.917 9.190 5.268
-0.116 -11.292 -0.146
4.389 -0.089 3.419
ATOMIC_POSITIONS crystal
La 0.837 0.620 0.750
La 0.620 0.837 0.250
La 0.163 0.380 0.250
Ru 0.514 0.486 0.750
Sr 0.218 0.782 0.250
Sr 0.782 0.218 0.750
La 0.380 0.163 0.750
Ru 0.486 0.514 0.250
La 0.000 0.000 0.500
La 0.000 0.000 0.000


! GGA-PBE Ta2Re2Te, optimized geometry; values from VASP
! relative energy among the computed polymorphs = 0.144 eV/atom
! N(E_F) = 2.74 states/eV per cell
! V = 103.5 Å³ per cell
! formation energy without anion corrections = 0.477 eV per atom
&SYSTEM
  ibrav = 0, nat = 5, ntyp = 3
/
ATOMIC_SPECIES
Te 127.60 Te.upf
Re 186.21 Re.upf
Ta 180.95 Ta.upf
CELL_PARAMETERS angstrom
4.281 0.000 0.000
0.000 4.281 0.000
2.141 2.141 5.647
ATOMIC_POSITIONS crystal
Te 0.000 0.000 0.000
Re 0.616 0.616 0.768
Ta 0.250 0.750 0.500
Ta 0.750 0.250 0.500
Re 0.384 0.384 0.232


! GGA-PBE YTaRe2O, optimized geometry; values from VASP
! N(E_F) = 6.12 states/eV per cell
! V = 120.9 Å³ per cell
! formation energy without anion corrections = 3.443 eV per atom
&SYSTEM
  ibrav = 0, nat = 5, ntyp = 4
/
ATOMIC_SPECIES
Y 88.91 Y.upf
Ta 180.95 Ta.upf
Re 186.21 Re.upf
O 16.00 O.upf
CELL_PARAMETERS angstrom
4.841 0.000 0.000
0.000 5.156 0.000
0.000 0.000 4.841
ATOMIC_POSITIONS crystal
Y 0.000 0.000 0.000
Ta 0.000 0.500 0.000
Re 0.000 0.000 0.500
Re 0.500 0.000 0.000
O 0.500 0.500 0.500


! GGA-PBE TiAlAgOs, optimized geometry; values from VASP
! N(E_F) = 2.84 states/eV per cell
! ΔE_f = -245 meV/atom
! V = 61.4 Å³ per cell
&SYSTEM
  ibrav = 0, nat = 4, ntyp = 4
/
ATOMIC_SPECIES
Ti 47.87 Ti.upf
Ag 107.87 Ag.upf
Al 26.98 Al.upf
Os 190.23 Os.upf
CELL_PARAMETERS angstrom
4.428 0.000 0.000
2.214 3.835 0.000
2.214 1.278 3.616
ATOMIC_POSITIONS crystal
Ti 0.000 0.000 0.000
Ag 0.250 0.250 0.250
Al 0.500 0.500 0.500
Os 0.750 0.750 0.750


Number 1: size of the total moment 0.00 Bohr magnetons per cell. Number 2: size of the total moment 0.00 Bohr magnetons per cell. Number 3: size of the total moment 0.00 Bohr magnetons per cell. Number 4: size of the total moment 0.00 Bohr magnetons per cell. Number 5: size of the total moment 2.58 Bohr magnetons per cell. Number 6: size of the total moment 0.00 Bohr magnetons per cell.